[1]
This record from Alexandria describes a relaxed Pm2CrGa3Pt4 crystal. The functional is PBE.

Geometry as extended XYZ:
```
10
Lattice="-1.536 -3.506 1.551 3.482 -1.976 -1.017 4.349 2.518 9.997" Properties=species:S:1:pos:R:3 pbc="T T T"
Ga 2.319 -0.653 0.820
Ga 2.174 1.259 4.999
Ga 3.003 0.430 9.445
Cr 3.147 -1.482 5.266
Pm 5.013 0.906 7.013
Pm 0.309 -1.130 3.252
Pt 2.031 -0.132 7.212
Pt 3.290 -0.091 3.053
Pt 0.000 0.000 0.000
Pt 0.973 -2.741 0.267
```

The formation energy from the elements is -0.8261 eV/atom. The calculation puts the final energy at -0.2228 Ha/atom. The calculation puts the density of states at the Fermi level at 0.63 states/eV per atom.



[2]
This record from Alexandria describes a relaxed CrCo2Ru crystal. The functional is PBE.

Geometry as extended XYZ:
```
4
Lattice="4.748 -0.003 -0.008 2.077 4.269 0.008 -2.979 -2.828 2.382" Properties=species:S:1:pos:R:3 pbc="T T T"
Cr 3.453 2.158 0.000
Co 6.779 4.237 0.000
Co 2.541 -0.380 1.187
Ru 1.311 1.822 1.195
```

The formation energy from the elements is 0.2112 eV/atom. The calculation puts the final energy at -0.2964 Ha/atom. The calculation puts the density of states at the Fermi level at 1.31 states/eV per atom.



[3]
This record from Alexandria describes a relaxed CsGaBP2HO9 crystal. The functional is PBE.

Geometry as extended XYZ:
```
60
Lattice="-2.554 -6.257 5.753 5.117 -6.431 -4.723 6.154 3.616 6.664" Properties=species:S:1:pos:R:3 pbc="T T T"
O 0.967 -7.251 3.925
O 5.377 -7.508 -0.341
O 4.741 -2.676 -0.553
O 5.058 -1.982 6.296
O 4.589 -9.219 1.191
O 7.260 -8.407 5.438
O 1.703 -3.911 6.198
O 2.496 -5.552 -0.271
O 7.014 -5.161 1.497
O 3.065 -8.352 -0.509
O 6.034 -2.614 2.023
O 6.221 -3.521 7.966
O 3.341 -1.565 8.036
O 4.459 -4.427 6.322
O 2.082 -5.307 2.252
O 9.205 -3.859 1.298
O 3.660 -7.091 1.399
O 4.566 -2.628 10.012
O 6.635 -3.766 5.443
O 4.128 0.147 6.504
O 4.258 -4.646 1.373
O 5.947 -5.107 -1.071
O 3.977 -6.397 8.248
O 2.683 -6.458 5.672
O 3.019 -1.246 0.625
O 2.771 -3.965 8.766
O 0.282 -4.330 4.107
O -0.488 -5.214 6.397
O 1.457 -0.666 2.257
O 4.151 -6.445 -2.317
O 5.003 -9.337 5.390
O 3.715 0.264 2.304
O 8.435 -4.743 3.588
O 7.751 -1.821 3.770
O 5.652 -0.720 8.204
O 5.699 -7.827 7.070
Ga 2.903 -5.178 7.174
Ga 8.426 -3.227 4.901
Ga 0.292 -5.845 2.794
Ga 5.814 -3.895 0.520
Cs 5.424 -6.338 3.987
Cs 1.676 -9.788 2.164
Cs 7.041 0.716 5.530
Cs 3.294 -2.734 3.708
P 5.626 -3.447 6.552
P 3.091 -5.626 1.142
P 1.629 -7.508 5.292
P 5.464 -6.485 -1.537
P 0.301 -4.092 5.620
P 3.254 -2.588 9.232
P 8.417 -4.981 2.075
P 7.088 -1.565 2.402
B 4.516 -1.043 7.283
B 6.164 -8.954 6.256
B 4.202 -8.030 0.412
B 2.553 -0.118 1.438
H 3.224 -9.128 -1.076
H 3.479 0.851 3.044
H 5.494 0.055 8.770
H 5.238 -9.923 4.651
```

The calculation puts the final energy at -0.2485 Ha/atom. The calculation puts the density of states at the Fermi level at 0.00 states/eV per atom.



[4]
This record from Alexandria describes a relaxed TlGa3S crystal. The functional is PBE.

Geometry as extended XYZ:
```
5
Lattice="-4.799 -0.917 2.120 2.237 -3.061 3.741 0.574 4.261 3.143" Properties=species:S:1:pos:R:3 pbc="T T T"
S -0.994 0.142 4.502
Ga 1.118 -1.530 1.871
Ga 0.287 2.131 1.571
Ga -2.400 -0.458 1.060
Tl 0.000 0.000 0.000
```

The calculation puts the final energy at -0.0926 Ha/atom. For the uncorrected formation energy, the calculation gives 595.7 meV/atom. The calculation puts the density of states at the Fermi level at 0.25 states/eV per atom.



[5]
This record from Alexandria describes a relaxed Pm5Sm2Er12 crystal. The functional is PBE.

Geometry as extended XYZ:
```
19
Lattice="-11.867 -3.148 0.112 -6.620 -9.093 4.924 -5.916 -0.164 6.249" Properties=species:S:1:pos:R:3 pbc="T T T"
Sm -8.324 -7.163 3.362
Sm -10.164 -5.078 1.674
Er -11.361 -3.504 4.669
Er -5.682 -1.045 4.905
Er -11.598 -6.846 4.188
Er -5.141 -6.222 3.666
Er -18.722 -11.360 6.380
Er -13.043 -8.901 6.616
Er -12.806 -5.559 7.097
Er -15.033 -6.646 4.791
Er -19.263 -6.183 7.618
Er -9.371 -5.759 6.494
Er -8.515 -2.399 0.573
Er -15.889 -10.006 10.712
Pm -7.761 -3.657 3.945
Pm -16.643 -8.748 7.340
Pm -2.958 -0.082 3.124
Pm -19.484 -9.563 9.432
Pm -4.920 -2.843 1.853
```

The formation energy from the elements is 0.1247 eV/atom. The calculation puts the final energy at -0.1655 Ha/atom. The calculation puts the density of states at the Fermi level at 1.33 states/eV per atom.



[6]
This record from Alexandria describes a relaxed ZnAg2Te crystal. The functional is PBE.

Geometry as extended XYZ:
```
4
Lattice="-0.928 -1.272 -3.921 -1.906 -3.431 1.564 -3.949 2.282 0.194" Properties=species:S:1:pos:R:3 pbc="T T T"
Zn -2.927 -0.575 0.879
Ag -1.417 -2.351 -1.179
Ag 0.000 0.000 0.000
Te -2.438 0.505 -1.864
```

The calculation puts the final energy at -0.0890 Ha/atom. For the uncorrected formation energy, the calculation gives 107.1 meV/atom. The calculation puts the density of states at the Fermi level at 0.26 states/eV per atom.



[7]
This record from Alexandria describes a relaxed Ac4GeTeCl2 crystal. The functional is PBE.

Geometry as extended XYZ:
```
8
Lattice="4.487 0.000 0.000 0.000 7.429 -0.015 0.000 2.752 7.900" Properties=species:S:1:pos:R:3 pbc="T T T"
Te 0.000 5.090 3.943
Ac 2.244 6.236 1.769
Ac 4.487 2.521 1.779
Ac 0.000 7.659 6.106
Ac 2.244 3.944 6.116
Ge 2.244 3.714 -0.007
Cl 0.000 2.752 7.900
Cl 2.244 1.376 3.950
```

The calculation puts the final energy at -0.1775 Ha/atom. For the uncorrected formation energy, the calculation gives -1345.3 meV/atom. The calculation puts the density of states at the Fermi level at 0.56 states/eV per atom.



[8]
This record from Alexandria describes a relaxed Eu2CdAs crystal. The functional is PBE.

Geometry as extended XYZ:
```
4
Lattice="-1.042 -2.786 -4.493 -1.807 -5.066 0.329 -5.093 -1.137 -1.346" Properties=species:S:1:pos:R:3 pbc="T T T"
Cd -3.970 -4.495 -2.755
As 0.000 0.000 0.000
Eu -1.985 -2.247 -1.377
Eu -5.956 -6.742 -4.132
```

The formation energy from the elements is -0.6662 eV/atom. The calculation puts the final energy at -0.2644 Ha/atom. The calculation puts the density of states at the Fermi level at 0.80 states/eV per atom.



[9]
This record from Alexandria describes a relaxed SrLiMn2 crystal. The functional is PBE.

Geometry as extended XYZ:
```
4
Lattice="-2.612 -4.291 0.321 1.448 -1.244 -4.658 3.442 1.126 3.496" Properties=species:S:1:pos:R:3 pbc="T T T"
Sr -0.582 -2.767 -2.169
Mn 0.000 0.000 0.000
Mn 2.154 -1.443 -1.665
Li 0.124 -2.967 0.824
```

The formation energy from the elements is 0.6198 eV/atom. The calculation puts the final energy at -0.1787 Ha/atom. The calculation puts the density of states at the Fermi level at 1.00 states/eV per atom.



[10]
This record from Alexandria describes a relaxed Zr2NbZnO crystal. The functional is PBE.

Geometry as extended XYZ:
```
5
Lattice="5.234 0.000 0.000 0.000 5.234 0.000 0.000 0.000 3.593" Properties=species:S:1:pos:R:3 pbc="T T T"
Nb 2.617 2.617 1.796
O 0.000 0.000 1.796
Zn 0.000 0.000 0.000
Zr 0.000 2.617 0.000
Zr 2.617 0.000 0.000
```

The calculation puts the final energy at -0.2259 Ha/atom. For the uncorrected formation energy, the calculation gives 532.5 meV/atom. The calculation puts the density of states at the Fermi level at 1.52 states/eV per atom.



[11]
This record from Alexandria describes a relaxed Pr2InSe crystal. The functional is PBE.

Geometry as extended XYZ:
```
8
Lattice="4.380 0.000 0.000 0.000 4.410 -0.783 0.000 -0.093 12.284" Properties=species:S:1:pos:R:3 pbc="T T T"
Se 3.285 3.505 6.927
Se 1.095 0.812 4.574
Pr 1.095 1.332 7.501
Pr 3.285 2.985 4.000
Pr 3.285 4.020 9.830
Pr 1.095 0.297 1.670
In 3.285 2.384 0.620
In 1.095 1.933 10.881
```

The calculation puts the final energy at -0.1876 Ha/atom. For the uncorrected formation energy, the calculation gives -1160.3 meV/atom. The calculation puts the density of states at the Fermi level at 0.51 states/eV per atom.



[12]
This record from Alexandria describes a relaxed Ho2Er6Pb crystal. The functional is PBE.

Geometry as extended XYZ:
```
18
Lattice="-0.358 2.729 -3.928 -1.872 -8.658 -5.843 -10.415 1.096 1.712" Properties=species:S:1:pos:R:3 pbc="T T T"
Er -4.631 -2.596 -4.309
Er -8.014 -2.237 -3.751
Er -2.050 2.905 -3.652
Er -1.749 -5.887 -6.858
Er -7.388 0.681 -1.782
Er -2.327 -2.740 -1.691
Er -5.837 -2.375 -1.117
Er -6.809 -2.458 -6.943
Er -5.258 -5.514 -6.279
Er -10.897 1.054 -1.202
Er -10.595 -7.738 -4.409
Er -10.318 -2.093 -6.369
Ho -2.939 -5.561 -3.595
Ho -9.707 0.728 -4.465
Ho -8.652 -5.156 -5.720
Ho -3.994 0.322 -2.340
Pb -5.208 0.548 0.856
Pb -1.115 -2.965 -4.886
```

The formation energy from the elements is -0.0885 eV/atom. The calculation puts the final energy at -0.1676 Ha/atom. The calculation puts the density of states at the Fermi level at 1.57 states/eV per atom.



[13]
This record from Alexandria describes a relaxed AcTb2Dy crystal. The functional is PBE.

Geometry as extended XYZ:
```
4
Lattice="5.833 0.000 0.000 2.917 5.052 0.000 2.917 1.684 4.763" Properties=species:S:1:pos:R:3 pbc="T T T"
Tb 2.917 1.684 1.191
Tb 8.750 5.052 3.572
Dy 5.833 3.368 2.381
Ac 0.000 0.000 0.000
```

The formation energy from the elements is 0.1463 eV/atom. The calculation puts the final energy at -0.1597 Ha/atom. The calculation puts the density of states at the Fermi level at 1.91 states/eV per atom.



[14]
This record from Alexandria describes a relaxed Tb2NiN crystal. The functional is PBE.

Geometry as extended XYZ:
```
4
Lattice="3.366 0.000 0.000 1.683 2.915 0.000 1.683 0.972 7.890" Properties=species:S:1:pos:R:3 pbc="T T T"
Ni 0.000 0.000 0.000
Tb 5.049 2.915 2.563
Tb 1.683 0.972 5.328
N 3.366 1.943 3.945
```

The calculation puts the final energy at -0.2295 Ha/atom. For the uncorrected formation energy, the calculation gives -402.7 meV/atom. The calculation puts the density of states at the Fermi level at 0.60 states/eV per atom.



[15]
This record from Alexandria describes a relaxed KSnRh2 crystal. The functional is PBE.

Geometry as extended XYZ:
```
8
Lattice="7.668 0.000 0.000 0.000 7.668 0.000 3.834 3.834 3.142" Properties=species:S:1:pos:R:3 pbc="T T T"
Rh 9.586 10.014 2.357
Rh 6.180 1.917 0.786
Rh 1.489 5.751 0.786
Rh 5.751 5.323 2.357
Sn 7.668 3.834 1.571
Sn 0.000 0.000 0.000
K 3.834 3.834 0.000
K 3.834 7.668 1.571
```

The formation energy from the elements is 0.4198 eV/atom. The calculation puts the final energy at -0.1665 Ha/atom. The calculation puts the density of states at the Fermi level at 0.53 states/eV per atom.



[16]
This record from Alexandria describes a relaxed Nd5Dy6 crystal. The functional is PBE.

Geometry as extended XYZ:
```
11
Lattice="-3.006 -8.620 -0.089 2.118 -5.628 5.339 -5.382 -0.242 3.560" Properties=species:S:1:pos:R:3 pbc="T T T"
Nd -0.558 -4.654 1.360
Nd -4.194 -4.431 1.736
Nd -2.302 -5.120 4.548
Nd -3.967 -9.371 4.262
Nd -0.330 -9.594 3.889
Dy -4.043 -2.056 4.310
Dy -2.481 -7.485 1.930
Dy -2.226 -12.435 4.500
Dy -3.788 -7.006 6.880
Dy -6.238 -7.385 2.387
Dy -2.149 -1.477 1.084
```

The formation energy from the elements is 0.1353 eV/atom. The calculation puts the final energy at -0.1669 Ha/atom. The calculation puts the density of states at the Fermi level at 1.13 states/eV per atom.



[17]
This record from Alexandria describes a relaxed CaAl3Ge crystal. The functional is PBE.

Geometry as extended XYZ:
```
5
Lattice="-2.120 -3.629 0.784 0.850 0.397 4.172 -5.459 1.254 3.287" Properties=species:S:1:pos:R:3 pbc="T T T"
Ca -5.592 -0.256 4.140
Al -2.758 -1.500 5.801
Al -2.105 0.143 3.340
Al -1.887 -2.459 3.520
Ge -3.052 1.136 5.646
```

The formation energy from the elements is -0.2347 eV/atom. The calculation puts the final energy at -0.1398 Ha/atom. The calculation puts the density of states at the Fermi level at 0.40 states/eV per atom.



[18]
This record from Alexandria describes a relaxed KBa2BiO6 crystal. The functional is PBE.

Geometry as extended XYZ:
```
20
Lattice="-4.951 -4.037 0.235 1.271 -1.184 6.430 -5.614 6.691 2.342" Properties=species:S:1:pos:R:3 pbc="T T T"
O -4.884 -2.777 4.334
O -8.363 1.916 7.253
O -3.464 1.920 2.224
O -4.410 4.247 4.673
O -4.739 2.142 7.800
O -3.108 0.614 5.829
O -6.186 0.856 3.178
O -8.548 3.062 4.518
O -5.830 -0.450 6.783
O -0.746 -1.592 4.489
O -4.555 -0.673 1.207
O -0.931 -0.446 1.754
Ba -6.101 2.314 5.452
Ba -8.974 0.948 2.319
Ba -3.193 -0.845 3.555
Ba -0.320 0.522 6.688
K -2.475 -2.018 0.118
K -2.172 2.753 4.386
Bi 0.636 -0.592 3.215
Bi -5.283 1.327 1.289
```

The calculation puts the final energy at -0.1983 Ha/atom. For the uncorrected formation energy, the calculation gives -1538.8 meV/atom. The calculation puts the density of states at the Fermi level at 0.66 states/eV per atom.



[19]
This record from Alexandria describes a relaxed Ti2GaPd2 crystal. The functional is PBE.

Geometry as extended XYZ:
```
5
Lattice="-3.554 2.246 0.699 1.564 -2.521 3.060 3.037 4.210 1.917" Properties=species:S:1:pos:R:3 pbc="T T T"
Pd -0.804 2.105 2.145
Pd 1.850 1.830 3.531
Ga 0.000 0.000 0.000
Ti 0.635 4.098 3.053
Ti 0.412 -0.164 2.623
```

The formation energy from the elements is -0.3051 eV/atom. The calculation puts the final energy at -0.2258 Ha/atom. The calculation puts the density of states at the Fermi level at 0.90 states/eV per atom.



[20]
This record from Alexandria describes a relaxed PmTc2Ge7 crystal. The functional is PBE.

Geometry as extended XYZ:
```
10
Lattice="-1.664 4.288 -1.285 -5.705 -1.136 3.602 3.904 2.948 4.783" Properties=species:S:1:pos:R:3 pbc="T T T"
Ge -1.733 3.050 3.550
Ge -1.118 4.034 6.037
Ge 1.070 1.744 4.435
Ge -3.357 3.082 5.761
Ge -2.348 2.067 1.064
Ge -2.871 0.069 3.950
Ge -0.109 3.018 1.340
Tc 0.435 3.972 3.817
Tc -3.901 2.129 3.284
Pm 0.000 0.000 0.000
```

The formation energy from the elements is 0.0139 eV/atom. The calculation puts the final energy at -0.2119 Ha/atom. The calculation puts the density of states at the Fermi level at 0.49 states/eV per atom.